A relaxed structure of NdEr2Pa. Source: Alexandria via LeMat-Bulk, functional PBE.

The volume is 355.6 Å³/cell. The energy above the most stable polymorph in this dataset is 184.5 meV per atom. The formation energy is 0.3005 eV/atom.

It has space group R-3m (No. 166, hexagonal axes), with a = 3.3356 Å, b = 3.3356 Å, c = 36.9032 Å, α = 90.00°, β = 90.00° and γ = 120.00°. The inequivalent atoms are Nd at (0.0000, 0.0000, 0.0000), Er at (0.0000, 0.0000, 0.4135) and Pa at (0.0000, 0.0000, 0.5000).


A relaxed structure of NdEr2Pa. Source: Alexandria via LeMat-Bulk, functional PBE.

The volume is 354.6 Å³/cell. The energy above the most stable polymorph in this dataset is 0.0 meV per atom. The formation energy is 0.1159 eV/atom.

It has space group R3m (No. 160, hexagonal axes), with a = 3.4340 Å, b = 3.4340 Å, c = 34.7233 Å, α = 90.00°, β = 90.00° and γ = 120.00°. The inequivalent atoms are Nd at (0.0000, 0.0000, 0.0000), Er at (0.0000, 0.0000, 0.4207), Er at (0.0000, 0.0000, 0.5799) and Pa at (0.0000, 0.0000, 0.8339).


A relaxed structure of NdEr2PaS4. Source: Alexandria via LeMat-Bulk, functional PBE.

The volume is 170.3 Å³/cell. The formation energy from raw total energies comes out at -180 kJ per mole of atoms.

It has space group P2/m (No. 10), with a = 6.7547 Å, b = 3.8698 Å, c = 6.8811 Å, α = 90.00°, β = 108.75° and γ = 90.00°. The inequivalent atoms are Nd at (0.0000, 0.0000, 0.0000), Er at (0.0000, 0.5000, 0.5000), Er at (0.5000, 0.0000, 0.5000), Pa at (0.5000, 0.5000, 0.0000), S at (0.2513, 0.0000, 0.7394) and S at (0.2604, 0.5000, 0.2640).


A relaxed structure of Nd2ErPaSb4. Source: Alexandria via LeMat-Bulk, functional PBE.

The volume is 247.6 Å³/cell. The formation energy from raw total energies comes out at -94 kJ per mole of atoms.

It has space group P2/m (No. 10), with a = 7.6652 Å, b = 4.4396 Å, c = 7.7131 Å, α = 90.00°, β = 109.38° and γ = 90.00°. The inequivalent atoms are Nd at (0.0000, 0.0000, 0.0000), Nd at (0.5000, 0.5000, 0.0000), Er at (0.0000, 0.5000, 0.5000), Pa at (0.5000, 0.0000, 0.5000), Sb at (0.2465, 0.0000, 0.7378) and Sb at (0.2529, 0.5000, 0.2607).


A relaxed structure of NdEr2PaSe4. Source: Alexandria via LeMat-Bulk, functional PBE.

The volume is 193.8 Å³/cell. The formation energy from raw total energies comes out at -153 kJ per mole of atoms.

It has space group P2/m (No. 10), with a = 7.0253 Å, b = 4.0190 Å, c = 7.2403 Å, α = 90.00°, β = 108.51° and γ = 90.00°. The inequivalent atoms are Nd at (0.0000, 0.0000, 0.0000), Er at (0.0000, 0.5000, 0.5000), Er at (0.5000, 0.0000, 0.5000), Pa at (0.5000, 0.5000, 0.0000), Se at (0.2502, 0.0000, 0.7388) and Se at (0.2593, 0.5000, 0.2643).


A relaxed structure of Nd12ErPb3. Source: Alexandria via LeMat-Bulk, functional PBE.

The volume is 512.2 Å³/cell. The formation energy is -0.2401 eV/atom.

It has space group P4/mmm (No. 123), with a = 5.0113 Å, b = 5.0113 Å, c = 20.3968 Å, α = 90.00°, β = 90.00° and γ = 90.00°. The inequivalent atoms are Nd at (0.0000, 0.0000, 0.0000), Nd at (0.0000, 0.0000, 0.2449), Nd at (0.0000, 0.0000, 0.5000), Nd at (0.0000, 0.5000, 0.1221), Nd at (0.0000, 0.5000, 0.3698), Er at (0.5000, 0.5000, 0.5000), Pb at (0.5000, 0.5000, 0.0000) and Pb at (0.5000, 0.5000, 0.2452).


A relaxed structure of Nd3ErPb3. Source: Alexandria via LeMat-Bulk, functional PBE.

The volume is 521.1 Å³/cell. The formation energy is -0.2731 eV/atom.

It has space group P6_3/m (No. 176), with a = 9.7014 Å, b = 9.7014 Å, c = 6.3927 Å, α = 90.00°, β = 90.00° and γ = 120.00°. The inequivalent atoms are Nd at (0.0330, 0.3426, 0.2500), Er at (0.3333, 0.6667, 0.7500) and Pb at (0.0173, 0.3458, 0.7500).


A relaxed structure of Nd3ErPb. Source: Alexandria via LeMat-Bulk, functional PBE.

The volume is 666.5 Å³/cell. The formation energy is -0.1718 eV/atom.

It has space group P2_1/c (No. 14), with a = 8.9340 Å, b = 8.7427 Å, c = 9.9664 Å, α = 90.00°, β = 121.11° and γ = 90.00°. The inequivalent atoms are Nd at (0.0928, 0.0875, 0.2999), Nd at (0.3113, 0.0643, 0.7095), Nd at (0.4059, 0.7036, 0.9427), Er at (0.2559, 0.0664, 0.0350) and Pb at (0.0977, 0.7480, 0.0404).


A relaxed structure of Nd3ErPb2. Source: Alexandria via LeMat-Bulk, functional PBE.

The volume is 369.9 Å³/cell. The energy above the most stable polymorph in this dataset is 43.0 meV per atom. The formation energy is -0.3917 eV/atom.

It has space group Cmmm (No. 65), with a = 4.9925 Å, b = 16.3977 Å, c = 4.5186 Å, α = 90.00°, β = 90.00° and γ = 90.00°. The inequivalent atoms are Nd at (0.0000, 0.0000, 0.0000), Nd at (0.0000, 0.3239, 0.0000), Er at (0.0000, 0.5000, 0.5000) and Pb at (0.0000, 0.1490, 0.5000).


A relaxed structure of Nd2ErPb. Source: Alexandria via LeMat-Bulk, functional PBE.

The volume is 393.1 Å³/cell. The energy above the most stable polymorph in this dataset is 372.3 meV per atom. The formation energy is 0.0647 eV/atom.

It has space group R-3m (No. 166, hexagonal axes), with a = 3.5208 Å, b = 3.5208 Å, c = 36.6157 Å, α = 90.00°, β = 90.00° and γ = 120.00°. The inequivalent atoms are Nd at (0.0000, 0.0000, 0.0911), Er at (0.0000, 0.0000, 0.0000) and Pb at (0.0000, 0.0000, 0.5000).


A relaxed structure of Nd2ErPb. Source: Alexandria via LeMat-Bulk, functional PBE.

The volume is 494.2 Å³/cell. The energy above the most stable polymorph in this dataset is 158.9 meV per atom. The formation energy is -0.1487 eV/atom.

It has space group Fm-3m (No. 225), with a = 7.9062 Å, b = 7.9062 Å, c = 7.9062 Å, α = 90.00°, β = 90.00° and γ = 90.00°. The inequivalent atoms are Nd at (0.2500, 0.2500, 0.2500), Er at (0.0000, 0.0000, 0.0000) and Pb at (0.0000, 0.0000, 0.5000).


A relaxed structure of NdEr2Pb. Source: Alexandria via LeMat-Bulk, functional PBE.

The volume is 372.0 Å³/cell. The energy above the most stable polymorph in this dataset is 167.4 meV per atom. The formation energy is -0.1422 eV/atom.

It has space group R3m (No. 160, hexagonal axes), with a = 3.6053 Å, b = 3.6053 Å, c = 33.0500 Å, α = 90.00°, β = 90.00° and γ = 120.00°. The inequivalent atoms are Nd at (0.0000, 0.0000, 0.0000), Er at (0.0000, 0.0000, 0.5787), Er at (0.0000, 0.0000, 0.7551) and Pb at (0.0000, 0.0000, 0.1667).


A relaxed structure of Nd8Er6Pb. Source: Alexandria via LeMat-Bulk, functional PBE.

The volume is 497.7 Å³/cell. The formation energy is 0.0706 eV/atom.

It has space group P-3 (No. 147), with a = 9.3419 Å, b = 9.3419 Å, c = 6.5851 Å, α = 90.00°, β = 90.00° and γ = 120.00°. The inequivalent atoms are Nd at (0.0421, 0.2751, 0.3232), Nd at (0.3333, 0.6667, 0.3579), Er at (0.0996, 0.4483, 0.8382) and Pb at (0.0000, 0.0000, 0.0000).


A relaxed structure of NdEr2Pb. Source: Alexandria via LeMat-Bulk, functional PBE.

The volume is 251.2 Å³/cell. The energy above the most stable polymorph in this dataset is 0.0 meV per atom. The formation energy is -0.3097 eV/atom.

It has space group P2_1/m (No. 11), with a = 4.6751 Å, b = 4.7503 Å, c = 11.5464 Å, α = 90.00°, β = 101.60° and γ = 90.00°. The inequivalent atoms are Nd at (0.1902, 0.2500, 0.3832), Er at (0.0554, 0.7500, 0.1113), Er at (0.4385, 0.7500, 0.8764) and Pb at (0.3386, 0.2500, 0.6733).


A relaxed structure of NdEr2Pb. Source: Alexandria via LeMat-Bulk, functional PBE.

The volume is 509.9 Å³/cell. The energy above the most stable polymorph in this dataset is 69.1 meV per atom. The formation energy is -0.2406 eV/atom.

It has space group Cmcm (No. 63), with a = 4.3076 Å, b = 12.6444 Å, c = 9.3620 Å, α = 90.00°, β = 90.00° and γ = 90.00°. The inequivalent atoms are Nd at (0.0000, 0.0552, 0.2500), Er at (0.0000, 0.3659, 0.0504) and Pb at (0.0000, 0.2433, 0.7500).


A relaxed structure of Nd6ErPb. Source: Alexandria via LeMat-Bulk, functional PBE.

The volume is 262.4 Å³/cell. The formation energy is -0.1456 eV/atom.

It has space group P4/mmm (No. 123), with a = 5.0288 Å, b = 5.0288 Å, c = 10.3777 Å, α = 90.00°, β = 90.00° and γ = 90.00°. The inequivalent atoms are Nd at (0.0000, 0.0000, 0.0000), Nd at (0.0000, 0.0000, 0.5000), Nd at (0.0000, 0.5000, 0.2449), Er at (0.5000, 0.5000, 0.5000) and Pb at (0.5000, 0.5000, 0.0000).


A relaxed structure of Nd2ErPb3. Source: Alexandria via LeMat-Bulk, functional PBE.

The volume is 703.2 Å³/cell. The energy above the most stable polymorph in this dataset is 0.0 meV per atom. The formation energy is -0.4767 eV/atom.

It has space group Cmmm (No. 65), with a = 5.0226 Å, b = 15.3181 Å, c = 9.1394 Å, α = 90.00°, β = 90.00° and γ = 90.00°. The inequivalent atoms are Nd at (0.0000, 0.0000, 0.0000), Nd at (0.0000, 0.0000, 0.5000), Nd at (0.0000, 0.3331, 0.0000), Er at (0.0000, 0.3315, 0.5000), Pb at (0.0000, 0.1683, 0.2561) and Pb at (0.0000, 0.5000, 0.2550).


A relaxed structure of NdEr2Pb. Source: Alexandria via LeMat-Bulk, functional PBE.

The volume is 122.7 Å³/cell. The energy above the most stable polymorph in this dataset is 112.6 meV per atom. The formation energy is -0.1971 eV/atom.

It has space group P4/mmm (No. 123), with a = 3.6412 Å, b = 3.6412 Å, c = 9.2549 Å, α = 90.00°, β = 90.00° and γ = 90.00°. The inequivalent atoms are Nd at (0.0000, 0.0000, 0.0000), Er at (0.5000, 0.5000, 0.2700) and Pb at (0.0000, 0.0000, 0.5000).


A relaxed structure of Nd3Er4Pb4. Source: Alexandria via LeMat-Bulk, functional PBE.

The volume is 685.1 Å³/cell. The formation energy is -0.2724 eV/atom.

It has space group Immm (No. 71), with a = 3.8592 Å, b = 5.1825 Å, c = 34.2525 Å, α = 90.00°, β = 90.00° and γ = 90.00°. The inequivalent atoms are Nd at (0.0000, 0.0000, 0.0000), Nd at (0.0000, 0.5000, 0.1471), Er at (0.0000, 0.0000, 0.2626), Er at (0.0000, 0.5000, 0.4055), Pb at (0.0000, 0.0000, 0.4518) and Pb at (0.0000, 0.5000, 0.3155).


A relaxed structure of NdErPb2. Source: Alexandria via LeMat-Bulk, functional PBE.

The volume is 121.2 Å³/cell. The formation energy is -0.4887 eV/atom.

It has space group Pm (No. 6), with a = 4.5692 Å, b = 4.4940 Å, c = 6.3256 Å, α = 90.00°, β = 111.10° and γ = 90.00°. The inequivalent atoms are Nd at (0.0000, 0.0000, 0.0000), Er at (0.7415, 0.5000, 0.4786), Pb at (0.2722, 0.0000, 0.5394) and Pb at (0.4685, 0.5000, 0.9372).


A relaxed structure of Nd3ErPb2. Source: Alexandria via LeMat-Bulk, functional PBE.

The volume is 192.5 Å³/cell. The energy above the most stable polymorph in this dataset is 0.0 meV per atom. The formation energy is -0.4347 eV/atom.

It has space group P-4m2 (No. 115), with a = 4.6658 Å, b = 4.6658 Å, c = 8.8433 Å, α = 90.00°, β = 90.00° and γ = 90.00°. The inequivalent atoms are Nd at (0.0000, 0.0000, 0.0000), Nd at (0.0000, 0.5000, 0.6546), Er at (0.5000, 0.5000, 0.0000) and Pb at (0.0000, 0.5000, 0.2808).


A relaxed structure of NdEr3Pb2. Source: Alexandria via LeMat-Bulk, functional PBE.

The volume is 178.9 Å³/cell. The energy above the most stable polymorph in this dataset is 0.0 meV per atom. The formation energy is -0.3838 eV/atom.

It has space group P-4m2 (No. 115), with a = 4.5616 Å, b = 4.5616 Å, c = 8.5985 Å, α = 90.00°, β = 90.00° and γ = 90.00°. The inequivalent atoms are Nd at (0.0000, 0.0000, 0.0000), Er at (0.0000, 0.5000, 0.3421), Er at (0.5000, 0.5000, 0.0000) and Pb at (0.0000, 0.5000, 0.7093).


A relaxed structure of NdEr3Pb2. Source: Alexandria via LeMat-Bulk, functional PBE.

The volume is 738.4 Å³/cell. The energy above the most stable polymorph in this dataset is 63.5 meV per atom. The formation energy is -0.3204 eV/atom.

It has space group C2/m (No. 12), with a = 18.2368 Å, b = 4.6027 Å, c = 9.5621 Å, α = 90.00°, β = 113.08° and γ = 90.00°. The inequivalent atoms are Nd at (0.1143, 0.0000, 0.1323), Er at (0.0579, 0.0000, 0.6870), Er at (0.1414, 0.5000, 0.4849), Er at (0.1926, 0.5000, 0.8884), Pb at (0.0105, 0.5000, 0.8476) and Pb at (0.2442, 0.0000, 0.7093).